Record 1
Material: PrRuN
Method: DFT, PBE
State: relaxed

```
PrRuN
1.0
5.1245 0.0000 0.0000
0.0000 4.7810 0.0000
-2.5623 0.0000 4.5398
Pr N Ru
2 2 2
direct
0.3134 0.7500 0.6268
0.6866 0.2500 0.3732
0.1881 0.2500 0.3761
0.8119 0.7500 0.6239
0.0000 0.0000 0.0000
0.0000 0.5000 0.0000
```

Summary:
energy above the lowest structure with this stoichiometry	0.0	meV per atom
SG	Cmcm

=====

Record 2
Material: PrRuN
Method: DFT, PBE
State: relaxed

```
PrRuN
1.0
5.1272 0.0000 0.0000
0.0000 3.3711 0.0000
0.0000 -1.6855 2.9194
Pr Ru N
1 1 1
direct
0.5930 0.3333 0.6667
0.1377 0.0000 0.0000
0.2693 0.6667 0.3333
```

Summary:
energy above the lowest structure with this stoichiometry	189.7	meV per atom
SG	P3m1

=====

Record 3
Material: Pr2Ru2N7
Method: DFT, PBE
State: relaxed

```
Pr2Ru2N7
1.0
-1.7416 3.5857 0.2693
-6.5047 1.4797 -3.1770
-3.5144 2.2351 6.1031
Pr Ru N
2 2 7
direct
0.0000 0.8075 0.1925
0.0000 0.1925 0.8075
0.1112 0.7558 0.7558
0.8888 0.2442 0.2442
0.8197 0.0759 0.4960
0.1803 0.5040 0.9241
0.1803 0.9241 0.5040
0.8197 0.4960 0.0759
0.5000 0.0000 0.0000
0.2113 0.4477 0.4477
0.7887 0.5523 0.5523
```

Summary:
SG	C2/m

=====

Record 4
Material: PrRuN2
Method: DFT, PBE
State: relaxed

```
PrRuN2
1.0
-0.9672 2.3196 2.3687
-3.1418 1.4248 -0.1606
-3.1663 -2.3940 3.5691
Pr Ru N
1 1 2
direct
0.5000 0.5000 0.5000
0.0000 0.0000 0.0000
0.2704 0.2704 0.1887
0.7296 0.7296 0.8113
```

Summary:
SG	R-3m

=====

| no. | DFT total energy (eV/f.u.) | E_form (uncorrected) (eV per atom) |
| --- | --- | --- |
| 1 | -23.66 | -0.427 |
| 2 | -23.09 | -0.237 |
| 3 | -88.42 | -0.184 |
| 4 | -32.17 | -0.365 |